The following is a DFT calculation (PBE) of Be2TlClO after structural relaxation.

Summary:
E_tot in eV/cell: -11.7
D(E_F) in states/eV per cell: 1.89
Formation energy (no corrections) in meV per atom: 992
Size of the total moment in μB per atom: 0.00

Cell: 4.0080 4.0080 6.5712 Å, 90.00 90.00 90.00°
Atoms (fractional coordinates):
Be1 0.0000 0.5000 0.0000
Be2 0.5000 0.0000 0.0000
Tl1 0.0000 0.0000 0.5000
Cl1 0.0000 0.0000 0.0000
O1 0.5000 0.5000 0.5000



The following is a DFT calculation (PBE) of Be2OsCl2 after structural relaxation.

Summary:
E_tot in eV/cell: -16.9
D(E_F) in states/eV per cell: 4.22
Formation energy (no corrections) in meV per atom: 1095
ΔE to the lowest computed polymorph in meV per atom: 350
Size of the total moment in μB per atom: 0.47

Cell: 5.7144 5.7144 5.7144 Å, 140.01 140.01 57.83°
Atoms (fractional coordinates):
Be1 0.1102 0.1102 0.0000
Be2 0.8898 0.8898 0.0000
Os1 0.5000 0.5000 0.0000
Cl1 0.2500 0.7500 0.5000
Cl2 0.7500 0.2500 0.5000



The following is a DFT calculation (PBE) of Be2OsCl after structural relaxation.

Summary:
E_tot in eV/cell: -18.4
D(E_F) in states/eV per cell: 2.08
Formation energy (no corrections) in meV per atom: 529
ΔE to the lowest computed polymorph in meV per atom: 508
Size of the total moment in μB per atom: 0.00

Cell: 4.2812 4.2812 2.7228 Å, 90.00 90.00 90.00°
Atoms (fractional coordinates):
Be1 0.0000 0.5000 0.0000
Be2 0.5000 0.0000 0.0000
Os1 0.0000 0.0000 0.5000
Cl1 0.5000 0.5000 0.5000